DFT (PBE) results for an optimized crystal structure of HoMgPbAu.

Values from the calculation:
DOS at the Fermi energy (states/eV/f.u.): 0.906
Raw total energy (Ry per atom): -0.2791

Cell lengths 5.1000, 5.1000, 5.1000 Å; angles 60.00, 60.00, 60.00 degrees
Positions (direct):
Ho  0.0000  0.0000  0.0000
Mg  0.5000  0.5000  0.5000
Pb  0.2500  0.2500  0.2500
Au  0.7500  0.7500  0.7500

---

DFT (PBE) results for an optimized crystal structure of InW3Se.

Values from the calculation:
Formation energy without anion corrections (eV per atom): 3.0589
DOS at the Fermi energy (states/eV/f.u.): 6.379
E above lowest polymorph (meV/atom): 1581

Cell lengths 4.9167, 4.9167, 4.9167 Å; angles 90.00, 90.00, 90.00 degrees
Positions (direct):
In  0.0000  0.0000  0.0000
W  0.0000  0.0000  0.5000
W  0.0000  0.5000  0.0000
W  0.5000  0.0000  0.0000
Se  0.5000  0.5000  0.5000

---

DFT (PBE) results for an optimized crystal structure of YCr3Br.

Values from the calculation:
Formation energy without anion corrections (eV per atom): 0.9386
DOS at the Fermi energy (states/eV/f.u.): 5.659
E above lowest polymorph (meV/atom): 0

Cell lengths 4.6499, 4.6499, 4.6499 Å; angles 90.00, 90.00, 90.00 degrees
Positions (direct):
Y  0.0000  0.0000  0.0000
Cr  0.0000  0.5000  0.5000
Cr  0.5000  0.0000  0.5000
Cr  0.5000  0.5000  0.0000
Br  0.5000  0.5000  0.5000

---

DFT (PBE) results for an optimized crystal structure of Nb3As2H.

Values from the calculation:
DOS at the Fermi energy (states/eV/f.u.): 2.186
E above lowest polymorph (meV/atom): 207

Cell lengths 6.4884, 6.4884, 6.3686 Å; angles 104.30, 104.30, 45.62 degrees
Positions (direct):
Nb  0.0042  0.9958  0.7500
Nb  0.3834  0.3836  0.4427
Nb  0.3836  0.3834  0.9427
Nb  0.6164  0.6166  0.0573
Nb  0.6166  0.6164  0.5573
Nb  0.9958  0.0042  0.2500
As  0.1842  0.1848  0.0929
As  0.1848  0.1842  0.5929
As  0.8152  0.8158  0.4071
As  0.8158  0.8152  0.9071
H  0.4117  0.5883  0.7500
H  0.5883  0.4117  0.2500